Record 1
6
Lattice="-2.1781 3.0789 6.5352 2.1781 -3.0789 6.5352 2.1781 3.0789 -6.5352" Properties=species:S:1:pos:R:3 comment="YTm2Sb3 PBE relaxed" raw_formation_energy_ev_per_atom=-1.100 sg="Immm, No. 71" total_magnetization_mub_per_atom=0.000 rho_g_cm3=7.5 crystal_system=orthorhombic pbc="T T T"
Y 0.0000 0.0000 0.0000
Tm 0.0000 0.0000 4.3658
Tm 0.0000 0.0000 8.7047
Sb 2.1781 0.0000 2.2070
Sb 0.0000 3.0789 0.0000
Sb 0.0000 3.0789 4.3282

***

Record 2
6
Lattice="4.4683 0.0000 0.0000 0.0000 4.4683 0.0000 0.0000 0.0000 8.4469" Properties=species:S:1:pos:R:3 comment="Y3TmSb2 PBE relaxed" raw_formation_energy_ev_per_atom=-0.826 sg="P-4m2, No. 115" relative_energy_kj_per_mol_atoms=0.0 total_magnetization_mub_per_atom=0.000 rho_g_cm3=6.7 crystal_system=tetragonal pbc="T T T"
Y 0.0000 0.0000 0.0000
Y 0.0000 2.2342 5.4833
Y 2.2342 0.0000 2.9635
Tm 2.2342 2.2342 0.0000
Sb 0.0000 2.2342 2.3537
Sb 2.2342 0.0000 6.0932